Record 1
VASP calculation (PBE-GGA) on a relaxed Rb2YCF6 crystal.

Lattice parameters (Å, degrees): 5.9336 5.9336 10.6926 90.00 90.00 90.00
Space group I4/mmm (No. 139)
Symmetry-distinct sites (fractional):
Rb  0.0000  0.5000  0.2500 x4
Y  0.0000  0.0000  0.0000 x2
C  0.0000  0.0000  0.5000 x2
F  0.0000  0.0000  0.2032 x4
F  0.2396  0.2396  0.5000 x8

Summary:
For the uncorrected energy, the calculation gives -103.8 eV per cell. The raw formation energy is -2.304 eV per atom. The calculated volume is 376.5 Å³/cell.

***

Record 2
VASP calculation (PBE-GGA) on a relaxed PmIn4Ag4 crystal.

Lattice parameters (Å, degrees): 6.4311 6.4311 10.0318 90.00 90.00 90.00
Space group P4_2/nmc (No. 137, origin choice 2)
Symmetry-distinct sites (fractional):
Pm  0.2500  0.7500  0.2500 x2
In  0.0107  0.2500  0.0308 x8
Ag  0.0359  0.2500  0.3144 x8

Summary:
For the uncorrected energy, the calculation gives -56.5 eV per cell. The formation energy is -2.98 kcal/mol of atoms. The calculated volume is 414.9 Å³/cell.

***

Record 3
VASP calculation (PBE-GGA) on a relaxed TcSe2I crystal.

Lattice parameters (Å, degrees): 6.8814 6.8814 6.8814 90.00 90.00 90.00
Space group Fm-3m (No. 225)
Symmetry-distinct sites (fractional):
Tc  0.0000  0.0000  0.0000 x4
Se  0.2500  0.2500  0.2500 x8
I  0.0000  0.0000  0.5000 x4

Summary:
For the uncorrected energy, the calculation gives -60.8 eV per cell. The raw formation energy is 0.923 eV per atom. The calculated volume is 325.9 Å³/cell.